1.
Below is crystalline ZrScB at its relaxed geometry, with properties calculated at the PBE-GGA level.

Unit cell a=3.4285 b=3.4285 c=4.7744 alpha=90.00 beta=90.00 gamma=90.00
Sites, in units of the cell vectors:
Sc  0.0000  0.0000  0.5000
B  0.0000  0.0000  0.0000
Zr  0.5000  0.5000  0.0000

Calculated values
* ΔE to the lowest computed polymorph: 0.122 eV per atom
* mass density: 4.35 Mg/m³
* DFT formation energy: -260 meV/atom


2.
Below is crystalline KRePb2 at its relaxed geometry, with properties calculated at the PBE-GGA level.

Unit cell a=5.1602 b=5.1602 c=5.1602 alpha=60.00 beta=60.00 gamma=60.00
Last column: magnetic moment on the atom in μB.
Sites, in units of the cell vectors:
Pb  0.2500  0.2500  0.2500  -0.04
Pb  0.7500  0.7500  0.7500  -0.04
Re  0.5000  0.5000  0.5000  1.30
K  0.0000  0.0000  0.0000  0.00

Calculated values
* ΔE to the lowest computed polymorph: 0.467 eV per atom
* mass density: 10.93 Mg/m³
* DFT formation energy: 946 meV/atom


3.
Below is crystalline YMoAu2 at its relaxed geometry, with properties calculated at the PBE-GGA level.

Unit cell a=4.5243 b=4.5243 c=9.6499 alpha=76.44 beta=76.44 gamma=90.00
Last column: magnetic moment on the atom in μB.
Sites, in units of the cell vectors:
Y  0.5000  0.5000  0.0000  0.00
Y  0.2500  0.7500  0.5000  0.00
Mo  0.0000  0.0000  0.0000  0.49
Mo  0.7500  0.2500  0.5000  0.48
Au  0.6786  0.1250  0.2500  0.01
Au  0.0714  0.6250  0.2500  0.01
Au  0.3750  0.3214  0.7500  0.01
Au  0.8750  0.9286  0.7500  0.01

Calculated values
* ΔE to the lowest computed polymorph: 0.490 eV per atom
* mass density: 10.31 Mg/m³
* DFT formation energy: 400 meV/atom


4.
Below is crystalline PaSBrO at its relaxed geometry, with properties calculated at the PBE-GGA level.

Unit cell a=3.8532 b=3.8532 c=7.9013 alpha=90.09 beta=104.02 gamma=120.00
Sites, in units of the cell vectors:
Pa  0.4889  0.6090  0.0979
S  0.0122  0.8699  0.8821
Br  0.3507  0.0408  0.3915
O  0.8403  0.2847  0.1250

Calculated values
* mass density: 6.11 Mg/m³
* VASP energy: -7.2925 eV per atom